Here is Nd8Sm2Tm after structural relaxation from Alexandria. Energies are from PBE.

Values from the calculation:
Volume in Å³/cell: 770.47
Crystal system: monoclinic
ΔH_f (0 K) in kJ/mol of formula units: 167

Geometry as CIF:
```
data_Nd8Sm2Tm
_symmetry_space_group_name_H-M 'C 1 2/m 1'
_symmetry_Int_Tables_number 12
_cell_length_a 16.801
_cell_length_b 6.868
_cell_length_c 6.803
_cell_angle_alpha 90.00
_cell_angle_beta 101.01
_cell_angle_gamma 90.00
loop_
_symmetry_equiv_pos_as_xyz
'x,y,z'
'-x,-y,-z'
'-x,y,-z'
'x,-y,z'
'x+1/2,y+1/2,z'
'-x+1/2,-y+1/2,-z'
'-x+1/2,y+1/2,-z'
'x+1/2,-y+1/2,z'
loop_
_atom_site_label
_atom_site_fract_x
_atom_site_fract_y
_atom_site_fract_z
_atom_site_occupancy
Nd1 0.086 0.237 0.402 1
Nd2 0.093 0.000 0.916 1
Nd3 0.243 0.500 0.316 1
Sm1 0.194 0.500 0.805 1
Tm1 0.000 0.500 0.000 1
```